! VFeI2O | Alexandria via LeMat-Bulk | GGA+U | optimized geometry; values from VASP
! Space-group type ... P4/mmm
! Magnetic moment ... 0.646 μB/atom
! E above lowest polymorph ... 0.0 meV/atom
&SYSTEM
  ibrav = 0, nat = 5, ntyp = 4
/
ATOMIC_SPECIES
V 50.94 V.upf
I 126.90 I.upf
O 16.00 O.upf
Fe 55.84 Fe.upf
CELL_PARAMETERS angstrom
-5.5465 -0.7772 0.7118
-0.2644 -2.6649 -4.9701
0.6653 -3.2059 1.6836
ATOMIC_POSITIONS angstrom
V 0.0000 0.0000 0.0000
I -0.1322 -1.3325 -2.4851
I -2.7732 -0.3886 0.3559
O 0.3327 -1.6030 0.8418
Fe -2.5728 -3.3240 -1.2874